# BaCrGeO4 (PBE with a Hubbard U, optimized geometry)
data_BaCrGeO4
_symmetry_space_group_name_H-M 'F -4 3 m'
_symmetry_Int_Tables_number 216
_symmetry_space_group_name_Hall 'F -4 2 3'
_cell_length_a 8.5247
_cell_length_b 8.5247
_cell_length_c 8.5247
_cell_angle_alpha 90.00
_cell_angle_beta 90.00
_cell_angle_gamma 90.00
loop_
_atom_site_label
_atom_site_type_symbol
_atom_site_fract_x
_atom_site_fract_y
_atom_site_fract_z
_atom_site_occupancy
Ba1 Ba 0.0000 0.0000 0.0000 1
Cr1 Cr 0.2500 0.2500 0.7500 1
Ge1 Ge 0.0000 0.0000 0.5000 1
O1 O 0.1188 0.1188 0.6188 1
# * size of the total moment: 0.57 μB/atom
# * Fermi-level density of states: 20.41 states/eV per cell
# * electronic total energy: -180.566 eV for the cell shown